(1)
## Ac4BiSb2N2 (GGA-PBE)

Data for a relaxed Ac4BiSb2N2 crystal.

Structure (POSCAR):
```
Ac4BiSb2N2
1.0
9.397 -2.135 0.000
9.397 2.135 0.000
-3.028 0.000 7.191
Ac Bi Sb N
4 1 2 2
direct
0.059 0.059 0.371
0.275 0.275 0.725
0.725 0.725 0.275
0.941 0.941 0.629
0.500 0.500 0.000
0.385 0.385 0.233
0.615 0.615 0.767
0.184 0.184 0.385
0.816 0.816 0.615
```

Summary:
spin magnetization = 0.0 Bohr magnetons per cell
space-group type = C2/m
E = -6.028 eV/atom
energy relative to the elements, uncorrected = -1.0042 eV per atom


(2)
## Na2SrPbI6 (GGA-PBE)

Data for a relaxed Na2SrPbI6 crystal.

Structure (POSCAR):
```
Na2SrPbI6
1.0
4.098 2.366 7.412
-4.098 2.366 7.412
0.000 -4.731 7.412
Na Sr Pb I
2 1 1 6
direct
0.000 0.000 0.000
0.499 0.499 0.499
0.191 0.191 0.191
0.690 0.690 0.690
0.098 0.782 0.403
0.283 0.604 0.898
0.403 0.098 0.782
0.604 0.898 0.283
0.782 0.403 0.098
0.898 0.283 0.604
```

Summary:
spin magnetization = 0.0 Bohr magnetons per cell
space-group type = R3
E = -2.923 eV/atom
energy relative to the elements, uncorrected = -1.1898 eV per atom


(3)
## RbTb2CuS4 (GGA-PBE)

Data for a relaxed RbTb2CuS4 crystal.

Structure (POSCAR):
```
RbTb2CuS4
1.0
1.999 -6.918 0.000
1.999 6.918 0.000
0.000 0.000 13.824
Rb Tb Cu S
2 4 2 8
direct
0.107 0.893 0.750
0.893 0.107 0.250
0.366 0.634 0.562
0.366 0.634 0.938
0.634 0.366 0.062
0.634 0.366 0.438
0.165 0.835 0.250
0.835 0.165 0.750
0.000 0.000 0.000
0.000 0.000 0.500
0.259 0.741 0.109
0.259 0.741 0.391
0.425 0.575 0.750
0.575 0.425 0.250
0.741 0.259 0.609
0.741 0.259 0.891
```

Summary:
spin magnetization = 0.0 Bohr magnetons per cell
space-group type = Cmcm
E = -5.509 eV/atom
energy relative to the elements, uncorrected = -1.6544 eV per atom


(4)
## Zr2TlPt (GGA-PBE)

Data for a relaxed Zr2TlPt crystal.

Structure (POSCAR):
```
Zr2TlPt
1.0
3.072 0.000 0.000
0.000 4.144 0.000
-0.027 0.000 6.456
Zr Tl Pt
2 1 1
direct
0.004 0.000 0.268
0.996 0.000 0.732
0.500 0.500 0.000
0.500 0.500 0.500
```

Summary:
spin magnetization = 0.0 Bohr magnetons per cell
formation energy = -1.724 eV per formula unit
energy above the lowest structure with this stoichiometry = 1.47 kcal/mol of atoms
space-group type = P2/m
E = -6.807 eV/atom


(5)
## AcSmAgPt (GGA-PBE)

Data for a relaxed AcSmAgPt crystal.

Structure (POSCAR):
```
AcSmAgPt
1.0
0.000 3.751 3.751
3.751 0.000 3.751
3.751 3.751 0.000
Ac Sm Ag Pt
1 1 1 1
direct
0.000 0.000 0.000
0.500 0.500 0.500
0.750 0.750 0.750
0.250 0.250 0.250
```

Summary:
spin magnetization = 0.0 Bohr magnetons per cell
formation energy = -2.493 eV per formula unit
space-group type = F-43m
E = -5.053 eV/atom


(6)
## Th2CdIr (GGA-PBE)

Data for a relaxed Th2CdIr crystal.

Structure (POSCAR):
```
Th2CdIr
1.0
2.051 1.184 9.879
-2.051 1.184 9.879
0.000 -2.369 9.879
Th Cd Ir
2 1 1
direct
0.114 0.114 0.114
0.886 0.886 0.886
0.000 0.000 0.000
0.500 0.500 0.500
```

Summary:
spin magnetization = 0.0 Bohr magnetons per cell
formation energy = -0.776 eV per formula unit
energy above the lowest structure with this stoichiometry = 6.47 kcal/mol of atoms
space-group type = R-3m
E = -6.348 eV/atom


(7)
## Ac5La8Sc (GGA-PBE)

Data for a relaxed Ac5La8Sc crystal.

Structure (POSCAR):
```
Ac5La8Sc
1.0
6.425 -5.165 0.000
6.425 5.165 0.000
-6.200 0.000 8.310
Ac La Sc
5 8 1
direct
0.000 0.000 0.000
0.206 0.587 0.751
0.274 0.019 0.728
0.413 0.794 0.249
0.981 0.726 0.272
0.060 0.408 0.928
0.177 0.190 0.438
0.377 0.368 0.298
0.592 0.940 0.072
0.620 0.281 0.788
0.632 0.623 0.702
0.719 0.380 0.212
0.810 0.823 0.562
0.795 0.205 0.500
```

Summary:
spin magnetization = 0.0 Bohr magnetons per cell
formation energy = 2.690 eV per formula unit
space-group type = C2
E = -4.543 eV/atom


(8)
## AcZrCu10 (GGA-PBE)

Data for a relaxed AcZrCu10 crystal.

Structure (POSCAR):
```
AcZrCu10
1.0
4.096 0.000 0.000
0.000 5.088 0.000
0.000 0.000 8.855
Ac Zr Cu
1 1 10
direct
0.000 0.000 0.000
0.000 0.500 0.500
0.000 0.000 0.347
0.000 0.000 0.653
0.000 0.500 0.187
0.000 0.500 0.813
0.500 0.000 0.500
0.500 0.259 0.266
0.500 0.259 0.734
0.500 0.500 0.000
0.500 0.741 0.266
0.500 0.741 0.734
```

Summary:
spin magnetization = 0.0 Bohr magnetons per cell
formation energy = -0.923 eV per formula unit
space-group type = Pmmm
E = -4.545 eV/atom


(9)
## Er4BiTeAs2 (GGA-PBE)

Data for a relaxed Er4BiTeAs2 crystal.

Structure (POSCAR):
```
Er4BiTeAs2
1.0
7.280 0.000 0.000
0.000 4.201 0.000
-2.413 0.000 7.004
Er Bi Te As
4 1 1 2
direct
0.239 0.000 0.222
0.258 0.500 0.776
0.742 0.500 0.224
0.761 0.000 0.778
0.000 0.000 0.500
0.500 0.500 0.500
0.000 0.500 0.000
0.500 0.000 0.000
```

Summary:
spin magnetization = 0.0 Bohr magnetons per cell
space-group type = P2/m
E = -5.631 eV/atom
energy relative to the elements, uncorrected = -1.3097 eV per atom


(10)
## Na2InTe2 (GGA-PBE)

Data for a relaxed Na2InTe2 crystal.

Structure (POSCAR):
```
Na2InTe2
1.0
2.735 -8.391 0.000
2.735 8.391 0.000
0.000 0.000 6.920
Na In Te
4 2 4
direct
0.007 0.993 0.500
0.197 0.803 0.763
0.803 0.197 0.263
0.993 0.007 0.000
0.396 0.604 0.691
0.604 0.396 0.191
0.164 0.836 0.249
0.429 0.571 0.261
0.571 0.429 0.761
0.836 0.164 0.749
```

Summary:
spin magnetization = 0.0 Bohr magnetons per cell
energy above the lowest structure with this stoichiometry = 0.00 kcal/mol of atoms
space-group type = Cmc2_1
E = -2.972 eV/atom
energy relative to the elements, uncorrected = -0.6405 eV per atom


(11)
## W2SeCl (GGA-PBE)

Data for a relaxed W2SeCl crystal.

Structure (POSCAR):
```
W2SeCl
1.0
2.820 0.000 0.000
0.000 4.326 0.000
-1.234 0.000 5.616
W Se Cl
2 1 1
direct
0.244 0.000 0.249
0.756 0.000 0.751
0.500 0.500 0.500
0.000 0.500 0.000
```

Summary:
spin magnetization = 0.0 Bohr magnetons per cell
energy above the lowest structure with this stoichiometry = 20.44 kcal/mol of atoms
space-group type = P2/m
E = -6.954 eV/atom
energy relative to the elements, uncorrected = 0.8555 eV per atom


(12)
## Ho8C3S4O (GGA-PBE)

Data for a relaxed Ho8C3S4O crystal.

Structure (POSCAR):
```
Ho8C3S4O
1.0
3.669 2.119 6.255
-3.669 2.119 6.255
0.000 -4.237 6.255
Ho C S O
8 3 4 1
direct
0.231 0.741 0.741
0.238 0.238 0.238
0.259 0.259 0.769
0.259 0.769 0.259
0.741 0.231 0.741
0.741 0.741 0.231
0.762 0.762 0.762
0.769 0.259 0.259
0.000 0.000 0.500
0.000 0.500 0.000
0.500 0.000 0.000
0.000 0.000 0.000
0.000 0.500 0.500
0.500 0.000 0.500
0.500 0.500 0.000
0.500 0.500 0.500
```

Summary:
spin magnetization = 0.0 Bohr magnetons per cell
space-group type = R-3m
E = -6.978 eV/atom
energy relative to the elements, uncorrected = -1.6177 eV per atom